1.
Computed, not measured: crystalline KBa2CdAu at its relaxed geometry at the PBE level of DFT.

Calculated values
The calculation puts the density of states at the Fermi level at 5.7 states/eV per cell. The volume comes out at 232 Å³ per cell. The energy of formation from the pure elements comes out at -110 kJ/mol of formula units.

```
data_KBa2CdAu
_chemical_formula_sum 'K1 Ba2 Cd1 Au1'
_space_group_name_H-M_alt 'P 4/m m m'
_space_group_IT_number 123
_space_group_name_Hall '-P 4 2'
_cell_length_a 6.468
_cell_length_b 6.468
_cell_length_c 5.543
_cell_angle_alpha 90.00
_cell_angle_beta 90.00
_cell_angle_gamma 90.00
loop_
_atom_site_label
_atom_site_fract_x
_atom_site_fract_y
_atom_site_fract_z
K1 0.000 0.000 0.000
Ba1 0.000 0.500 0.500
Cd1 0.500 0.500 0.000
Au1 0.500 0.500 0.500
```

***

2.
Computed, not measured: crystalline La8Mg2Cd at its relaxed geometry at the PBE level of DFT.

Calculated values
The calculation puts the density of states at the Fermi level at 29.9 states/eV per cell. The volume comes out at 735 Å³ per cell. The energy of formation from the pure elements comes out at 23 kJ/mol of formula units.

```
data_La8Mg2Cd
_chemical_formula_sum 'La16 Mg4 Cd2'
_space_group_name_H-M_alt 'C 1 2/m 1'
_space_group_IT_number 12
_cell_length_a 15.639
_cell_length_b 6.796
_cell_length_c 7.096
_cell_angle_alpha 90.00
_cell_angle_beta 102.83
_cell_angle_gamma 90.00
loop_
_space_group_symop_operation_xyz
'x,y,z'
'-x,-y,-z'
'-x,y,-z'
'x,-y,z'
'x+1/2,y+1/2,z'
'-x+1/2,-y+1/2,-z'
'-x+1/2,y+1/2,-z'
'x+1/2,-y+1/2,z'
loop_
_atom_site_label
_atom_site_fract_x
_atom_site_fract_y
_atom_site_fract_z
La1 0.078 0.230 0.393
La2 0.103 0.000 0.944
La3 0.185 0.500 0.808
Mg1 0.242 0.500 0.307
Cd1 0.000 0.500 0.000
```

***

3.
Computed, not measured: crystalline KNd4Tl5 at its relaxed geometry at the PBE level of DFT.

Calculated values
The calculation puts the density of states at the Fermi level at 7.1 states/eV per cell. The volume comes out at 314 Å³ per cell. The energy of formation from the pure elements comes out at -310 kJ/mol of formula units.

```
data_KNd4Tl5
_chemical_formula_sum 'K1 Nd4 Tl5'
_space_group_name_H-M_alt 'P 4/m m m'
_space_group_IT_number 123
_space_group_name_Hall '-P 4 2'
_cell_length_a 3.938
_cell_length_b 3.938
_cell_length_c 20.240
_cell_angle_alpha 90.00
_cell_angle_beta 90.00
_cell_angle_gamma 90.00
loop_
_atom_site_label
_atom_site_fract_x
_atom_site_fract_y
_atom_site_fract_z
K1 0.000 0.000 0.000
Nd1 0.000 0.000 0.212
Nd2 0.000 0.000 0.404
Tl1 0.500 0.500 0.124
Tl2 0.500 0.500 0.309
Tl3 0.500 0.500 0.500
```

***

4.
Computed, not measured: crystalline Mn3AlRe at its relaxed geometry at the PBE level of DFT.

Calculated values
The calculation puts the density of states at the Fermi level at 11.3 states/eV per cell. The volume comes out at 78 Å³ per cell. The energy of formation from the pure elements comes out at 709 kJ/mol of formula units.

```
data_Mn3AlRe
_chemical_formula_sum 'Mn3 Al1 Re1'
_space_group_name_H-M_alt 'P m -3 m'
_space_group_IT_number 221
_space_group_name_Hall '-P 4 2 3'
_cell_length_a 4.268
_cell_length_b 4.268
_cell_length_c 4.268
_cell_angle_alpha 90.00
_cell_angle_beta 90.00
_cell_angle_gamma 90.00
loop_
_atom_site_label
_atom_site_fract_x
_atom_site_fract_y
_atom_site_fract_z
Mn1 0.000 0.000 0.500
Al1 0.000 0.000 0.000
Re1 0.500 0.500 0.500
```